Record 1
KReAs | PBE | optimized geometry

Output
Formation energy   1.09 eV/atom
E_tot   -4.972 eV per atom
Crystal system   hexagonal

Cell: 5.0693 5.0693 2.7026 Å, 90.00 90.00 120.00°
Space group P-6m2 (No. 187)
One atom of each set of equivalent atoms:
K (0.0000, 0.0000, 0.0000) x1
Re (0.6667, 0.3333, 0.5000) x1
As (0.3333, 0.6667, 0.5000) x1

Record 2
PRhPb2 | PBE | optimized geometry

Output
Formation energy   -0.11 eV/atom
E_tot   -5.155 eV per atom
Crystal system   tetragonal

Cell: 3.283 3.283 8.218 Å, 90.00 90.00 90.00°
Space group P4mm (No. 99)
One atom of each set of equivalent atoms:
P (0.000, 0.000, 0.000) x1
Rh (0.500, 0.500, 0.900) x1
Pb (0.000, 0.000, 0.633) x1
Pb (0.500, 0.500, 0.266) x1

Record 3
Er4ZnCuRu2 | PBE | optimized geometry

Output
Formation energy   -0.39 eV/atom
E_tot   -5.658 eV per atom
Crystal system   trigonal

Cell: 4.8425 4.8425 23.7215 Å, 90.00 90.00 120.00°
Space group R-3m (No. 166, hexagonal axes)
One atom of each set of equivalent atoms:
Er (0.0000, 0.0000, 0.1233) x6
Er (0.0000, 0.0000, 0.3736) x6
Zn (0.0000, 0.0000, 0.5000) x3
Cu (0.0000, 0.0000, 0.0000) x3
Ru (0.0000, 0.0000, 0.2493) x6

Record 4
Ba6PRh | PBE | optimized geometry

Output
Formation energy   -0.34 eV/atom
E_tot   -3.377 eV per atom
Crystal system   triclinic

Cell: 7.890 7.892 8.759 Å, 90.00 116.73 119.96°
Space group P-1 (No. 2)
One atom of each set of equivalent atoms:
Ba (0.007, 0.102, 0.252) x2
Ba (0.347, 0.746, 0.252) x2
Ba (0.350, 0.595, 0.749) x2
P (0.500, 0.000, 0.000) x1
Rh (0.500, 0.500, 0.500) x1

Look up the E_tot of the second one. -5.155 eV per atom

Which formula does entry 3 have? Er4ZnCuRu2

What is the E_tot in the second record? -5.155 eV per atom

Which value of E_tot does entry 4 give? -3.377 eV per atom